CaCoO2: optimized geometry, PBE+U.

```
CaCoO2
1.0
0.0000 2.7886 2.7886
2.7886 0.0000 2.7886
2.7886 2.7886 0.0000
Ca Co O
1 1 2
direct
0.0000 0.0000 0.0000
0.5000 0.5000 0.5000
0.2500 0.2500 0.2500
0.7500 0.7500 0.7500
```

Calculated values
Energy above the lowest structure with this stoichiometry = 424 meV/atom
DOS at the Fermi energy = 0.00 states/eV/f.u.
M_tot = 0.750 μB/atom
Crystal system = cubic